1.
Entry from Alexandria via LeMat-Bulk: crystalline Y2ZnAs2 at its relaxed geometry (PBE-GGA). Values from VASP.

Geometry as Quantum ESPRESSO input:
```
&SYSTEM
  ibrav = 0, nat = 10, ntyp = 3
/
ATOMIC_SPECIES
As 74.92 As.upf
Zn 65.41 Zn.upf
Y 88.91 Y.upf
CELL_PARAMETERS angstrom
7.577 0.000 0.000
0.000 7.577 0.000
0.000 0.000 3.869
ATOMIC_POSITIONS crystal
As 0.152 0.348 0.000
As 0.848 0.652 0.000
As 0.348 0.848 0.000
As 0.652 0.152 0.000
Zn 0.000 0.000 0.000
Zn 0.500 0.500 0.000
Y 0.342 0.158 0.500
Y 0.158 0.658 0.500
Y 0.842 0.342 0.500
Y 0.658 0.842 0.500
```

- E: -56.72 eV for the cell shown
- Crystal system: tetragonal
- Total moment: 0.0000 μB per atom

=====

2.
Entry from Alexandria via LeMat-Bulk: crystalline YZnAs at its relaxed geometry (PBE-GGA). Values from VASP.

Geometry as Quantum ESPRESSO input:
```
&SYSTEM
  ibrav = 0, nat = 3, ntyp = 3
/
ATOMIC_SPECIES
As 74.92 As.upf
Zn 65.41 Zn.upf
Y 88.91 Y.upf
CELL_PARAMETERS angstrom
5.594 0.141 0.120
3.231 4.569 -0.120
-4.340 -2.492 2.508
ATOMIC_POSITIONS crystal
As 0.019 0.019 0.000
Zn 0.647 0.647 0.000
Y 0.334 0.334 0.000
```

- E: -13.81 eV for the cell shown
- Crystal system: orthorhombic
- Total moment: 0.0000 μB per atom

=====

3.
Entry from Alexandria via LeMat-Bulk: crystalline YZn2As at its relaxed geometry (PBE-GGA). Values from VASP.

Geometry as Quantum ESPRESSO input:
```
&SYSTEM
  ibrav = 0, nat = 4, ntyp = 3
/
ATOMIC_SPECIES
Y 88.91 Y.upf
As 74.92 As.upf
Zn 65.41 Zn.upf
CELL_PARAMETERS angstrom
-0.744 -2.416 4.956
3.539 -4.059 1.395
0.412 5.177 -1.994
ATOMIC_POSITIONS crystal
Y 0.226 0.726 0.500
As 0.489 0.489 0.000
Zn 0.801 0.301 0.500
Zn 0.985 0.985 0.000
```

- E: -15.15 eV for the cell shown
- Crystal system: orthorhombic
- Total moment: 0.0000 μB per atom

=====

4.
Entry from Alexandria via LeMat-Bulk: crystalline YZnAs2 at its relaxed geometry (PBE-GGA). Values from VASP.

Geometry as Quantum ESPRESSO input:
```
&SYSTEM
  ibrav = 0, nat = 4, ntyp = 3
/
ATOMIC_SPECIES
Zn 65.41 Zn.upf
Y 88.91 Y.upf
As 74.92 As.upf
CELL_PARAMETERS angstrom
5.335 0.024 -0.006
1.874 4.995 0.006
-3.594 -2.525 3.028
ATOMIC_POSITIONS crystal
Zn 0.750 0.250 0.500
Y 0.250 0.750 0.500
As 0.000 0.000 0.000
As 0.500 0.500 0.000
```

- E: -19.07 eV for the cell shown
- Crystal system: orthorhombic
- Total moment: 0.0000 μB per atom

=====

Copy entry 1 word for word.
Entry from Alexandria via LeMat-Bulk: crystalline Y2ZnAs2 at its relaxed geometry (PBE-GGA). Values from VASP.

Geometry as Quantum ESPRESSO input:
```
&SYSTEM
  ibrav = 0, nat = 10, ntyp = 3
/
ATOMIC_SPECIES
As 74.92 As.upf
Zn 65.41 Zn.upf
Y 88.91 Y.upf
CELL_PARAMETERS angstrom
7.577 0.000 0.000
0.000 7.577 0.000
0.000 0.000 3.869
ATOMIC_POSITIONS crystal
As 0.152 0.348 0.000
As 0.848 0.652 0.000
As 0.348 0.848 0.000
As 0.652 0.152 0.000
Zn 0.000 0.000 0.000
Zn 0.500 0.500 0.000
Y 0.342 0.158 0.500
Y 0.158 0.658 0.500
Y 0.842 0.342 0.500
Y 0.658 0.842 0.500
```

- E: -56.72 eV for the cell shown
- Crystal system: tetragonal
- Total moment: 0.0000 μB per atom

=====

- Which value of E does entry 1 give?
  -56.72 eV for the cell shown

=====

- What is the formula in the first record?
  Y2ZnAs2